A plane-wave DFT calculation with PBE-GGA was carried out for a geometry-optimized HIrAu2 structure.

Calculated values
* calculated total energy: -3.733 eV/atom
* polymorph energy (0 for the lowest one): 330.6 meV/atom
* space-group type: Fm-3m
* magnetization: 0.000 μB per formula unit

Lattice parameters (Å, degrees): 4.4001 4.4001 4.4001 60.00 60.00 60.00
Closest atoms and distances in Å follow each position.
Fractional coordinates of all 4 atoms:
H 0.0000 0.0000 0.0000  8 Au 2.69
Ir 0.5000 0.5000 0.5000  8 Au 2.69
Au 0.2500 0.2500 0.2500  4 H 2.69, 4 Ir 2.69
Au 0.7500 0.7500 0.7500  4 Ir 2.69, 4 H 2.69